First-principles (PBE) data for a relaxed Na5Ga16Au10 crystal, as listed in the Open Quantum Materials Database.

a b c (Å): 10.8971 10.8971 11.6074
angles (deg): 90.00 90.00 120.00
Fractional positions:
Na  0.1013  0.8981  0.2500
Na  0.1019  0.2032  0.2500
Na  0.2032  0.1013  0.7500
Na  0.3333  0.6667  0.5895
Na  0.3333  0.6667  0.9105
Na  0.6667  0.3333  0.0895
Na  0.6667  0.3333  0.4105
Na  0.7968  0.8987  0.2500
Na  0.8981  0.7968  0.7500
Na  0.8987  0.1019  0.7500
Ga  0.0355  0.6144  0.0790
Ga  0.0355  0.6144  0.4210
Ga  0.0557  0.6001  0.7500
Ga  0.1252  0.8476  0.5565
Ga  0.1252  0.8476  0.9435
Ga  0.1524  0.2776  0.5565
Ga  0.1524  0.2776  0.9435
Ga  0.2776  0.1252  0.0565
Ga  0.2776  0.1252  0.4435
Ga  0.3333  0.6667  0.2500
Ga  0.3856  0.4210  0.0790
Ga  0.3856  0.4210  0.4210
Ga  0.3999  0.4556  0.7500
Ga  0.4210  0.0355  0.5790
Ga  0.4210  0.0355  0.9210
Ga  0.4556  0.0557  0.2500
Ga  0.5444  0.9443  0.7500
Ga  0.5790  0.9645  0.0790
Ga  0.5790  0.9645  0.4210
Ga  0.6001  0.5444  0.2500
Ga  0.6144  0.5790  0.5790
Ga  0.6144  0.5790  0.9210
Ga  0.6667  0.3333  0.7500
Ga  0.7224  0.8748  0.5565
Ga  0.7224  0.8748  0.9435
Ga  0.8476  0.7224  0.0565
Ga  0.8476  0.7224  0.4435
Ga  0.8748  0.1524  0.0565
Ga  0.8748  0.1524  0.4435
Ga  0.9443  0.3999  0.2500
Ga  0.9645  0.3856  0.5790
Ga  0.9645  0.3856  0.9210
Au  0.0000  0.0000  0.0000
Au  0.0000  0.0000  0.5000
Au  0.1385  0.4027  0.7500
Au  0.1600  0.4571  0.1085
Au  0.1600  0.4571  0.3915
Au  0.2642  0.8615  0.7500
Au  0.2971  0.8400  0.1085
Au  0.2971  0.8400  0.3915
Au  0.4027  0.2642  0.2500
Au  0.4571  0.2971  0.6085
Au  0.4571  0.2971  0.8915
Au  0.5429  0.7029  0.1085
Au  0.5429  0.7029  0.3915
Au  0.5973  0.7358  0.7500
Au  0.7029  0.1600  0.6085
Au  0.7029  0.1600  0.8915
Au  0.7358  0.1385  0.2500
Au  0.8400  0.5429  0.6085
Au  0.8400  0.5429  0.8915
Au  0.8615  0.5973  0.2500

Summary:
The final energy comes out at -3.12 eV/atom. Its symmetry is P6_3/m (176). Its crystal system is hexagonal.

=====

First-principles (PBE) data for a relaxed Y2TcGe crystal, as listed in the Open Quantum Materials Database.

a b c (Å): 4.8362 4.8362 4.8362
angles (deg): 60.00 60.00 60.00
Fractional positions:
Y  0.0000  0.0000  0.0000
Y  0.2500  0.2500  0.2500
Tc  0.7500  0.7500  0.7500
Ge  0.5000  0.5000  0.5000

Summary:
The final energy comes out at -7.05 eV/atom. Its symmetry is F-43m (216). Its crystal system is cubic. The value obtained for the total magnetic moment is 0.02 μB per atom.

=====

First-principles (PBE) data for a relaxed Pa3Al crystal, as listed in the Open Quantum Materials Database.

a b c (Å): 5.5265 5.5265 5.5265
angles (deg): 131.87 131.87 70.43
Fractional positions:
Pa  0.0000  0.0000  0.0000
Pa  0.2500  0.7500  0.5000
Pa  0.7500  0.2500  0.5000
Al  0.5000  0.5000  0.0000

Summary:
The polymorph energy (0 for the lowest one) comes out at 0 meV per atom. Its symmetry is I4/mmm (139). Its crystal system is tetragonal. The value obtained for the total magnetic moment is 0.00 μB per atom.

=====

First-principles (PBE) data for a relaxed Li4In2HgIr crystal, as listed in the Open Quantum Materials Database.

a b c (Å): 4.5762 4.5762 6.5662
angles (deg): 90.00 90.00 90.00
Fractional positions:
Li  0.0000  0.0000  0.0000
Li  0.0000  0.5000  0.2377
Li  0.5000  0.0000  0.7623
Li  0.5000  0.5000  0.5000
In  0.0000  0.5000  0.7790
In  0.5000  0.0000  0.2210
Hg  0.0000  0.0000  0.5000
Ir  0.5000  0.5000  0.0000

Summary:
The final energy comes out at -3.08 eV/atom. Its symmetry is P-4m2 (115). Its crystal system is tetragonal. The value obtained for the total magnetic moment is 0.00 μB per atom.

=====

First-principles (PBE) data for a relaxed NdPO4 crystal, as listed in the Open Quantum Materials Database.

a b c (Å): 10.4567 10.4567 10.4567
angles (deg): 129.13 129.13 74.80
Fractional positions:
Nd  0.1250  0.3750  0.7500
Nd  0.1250  0.8750  0.2500
Nd  0.3750  0.1250  0.2500
Nd  0.3750  0.6250  0.7500
Nd  0.6250  0.3750  0.2500
Nd  0.6250  0.8750  0.7500
Nd  0.8750  0.1250  0.7500
Nd  0.8750  0.6250  0.2500
P  0.2104  0.2500  0.4604
P  0.2500  0.2896  0.0396
P  0.2500  0.7896  0.5396
P  0.2896  0.7500  0.0396
P  0.7104  0.2500  0.9604
P  0.7500  0.2104  0.4604
P  0.7500  0.7104  0.9604
P  0.7896  0.7500  0.5396
O  0.0998  0.8743  0.4768
O  0.1024  0.3770  0.9768
O  0.1163  0.6728  0.9466
O  0.1230  0.3976  0.5232
O  0.1257  0.1024  0.2255
O  0.1696  0.1163  0.9435
O  0.1728  0.6163  0.4466
O  0.2262  0.1696  0.5534
O  0.2738  0.8272  0.9435
O  0.3272  0.7738  0.4435
O  0.3304  0.2738  0.9466
O  0.3743  0.5998  0.9768
O  0.3770  0.9002  0.2745
O  0.3837  0.3304  0.5565
O  0.3976  0.3743  0.2745
O  0.4002  0.8770  0.7745
O  0.5998  0.1230  0.2255
O  0.6024  0.6257  0.7255
O  0.6163  0.6696  0.4435
O  0.6230  0.0998  0.7255
O  0.6257  0.4002  0.0232
O  0.6696  0.7262  0.0534
O  0.6728  0.2262  0.5565
O  0.7262  0.1728  0.0565
O  0.7738  0.8304  0.4466
O  0.8272  0.3837  0.5534
O  0.8304  0.8837  0.0565
O  0.8743  0.8976  0.7745
O  0.8770  0.6024  0.4768
O  0.8837  0.3272  0.0534
O  0.8976  0.6230  0.0232
O  0.9002  0.1257  0.5232

Summary:
The final energy comes out at -7.87 eV/atom. Its symmetry is I4_1/acd (142). Its crystal system is tetragonal. The value obtained for the total magnetic moment is 0.00 μB per atom.

=====

First-principles (PBE) data for a relaxed LiZrCuSi crystal, as listed in the Open Quantum Materials Database.

a b c (Å): 4.3213 4.3213 4.3213
angles (deg): 60.00 60.00 60.00
Fractional positions:
Li  0.0000  0.0000  0.0000
Zr  0.7500  0.7500  0.7500
Cu  0.5000  0.5000  0.5000
Si  0.2500  0.2500  0.2500

Summary:
The polymorph energy (0 for the lowest one) comes out at 46 meV per atom. Its symmetry is F-43m (216). Its crystal system is cubic. The value obtained for the total magnetic moment is 0.00 μB per atom.

=====

First-principles (PBE) data for a relaxed CoCuHgPb crystal, as listed in the Open Quantum Materials Database.

a b c (Å): 4.6340 4.6340 4.6340
angles (deg): 60.00 60.00 60.00
Fractional positions:
Co  0.0000  0.0000  0.0000
Cu  0.5000  0.5000  0.5000
Hg  0.2500  0.2500  0.2500
Pb  0.7500  0.7500  0.7500

Summary:
The polymorph energy (0 for the lowest one) comes out at 0 meV per atom. Its symmetry is F-43m (216). Its crystal system is cubic. The value obtained for the total magnetic moment is 0.21 μB per atom.

=====

First-principles (PBE) data for a relaxed PrSm2Mg3Pt2Au crystal, as listed in the Open Quantum Materials Database.

a b c (Å): 4.1190 7.5992 7.5992
angles (deg): 120.05 90.00 90.00
Fractional positions:
Pr  0.0000  0.0000  0.0000
Sm  0.0000  0.1653  0.5824
Sm  0.0000  0.5824  0.1653
Mg  0.5000  0.3368  0.3368
Mg  0.5000  0.5814  0.8285
Mg  0.5000  0.8285  0.5814
Pt  0.5000  0.2510  0.9151
Pt  0.5000  0.9151  0.2510
Au  0.0000  0.5809  0.5809

Summary:
The final energy comes out at -4.63 eV/atom. Its symmetry is Amm2 (38). Its crystal system is orthorhombic. The value obtained for the total magnetic moment is 0.00 μB per atom.

=====

First-principles (PBE) data for a relaxed Pm4SmSb5 crystal, as listed in the Open Quantum Materials Database.

a b c (Å): 16.1731 16.1731 16.1731
angles (deg): 164.06 164.06 22.62
Fractional positions:
Pm  0.0999  0.0999  0.0000
Pm  0.3001  0.3001  0.0000
Pm  0.6999  0.6999  0.0000
Pm  0.9001  0.9001  0.0000
Sm  0.5000  0.5000  0.0000
Sb  0.0000  0.0000  0.0000
Sb  0.2000  0.2000  0.0000
Sb  0.4003  0.4003  0.0000
Sb  0.5997  0.5997  0.0000
Sb  0.8000  0.8000  0.0000

Summary:
The final energy comes out at -5.62 eV/atom. Its symmetry is I4/mmm (139). Its crystal system is tetragonal. The value obtained for the total magnetic moment is 0.00 μB per atom.

=====

First-principles (PBE) data for a relaxed Y2CoPd crystal, as listed in the Open Quantum Materials Database.

a b c (Å): 4.0793 5.7020 5.7020
angles (deg): 40.27 90.00 90.00
Fractional positions:
Y  0.0000  0.0000  0.0000
Y  0.5000  0.2888  0.2888
Co  0.5000  0.5593  0.5593
Pd  0.0000  0.7143  0.7143

Summary:
Its symmetry is Amm2 (38). Its crystal system is orthorhombic. The value obtained for the total magnetic moment is 0.00 μB per atom. The calculation puts the formation energy at -0.490 eV/atom.

=====

First-principles (PBE) data for a relaxed SmRe crystal, as listed in the Open Quantum Materials Database.

a b c (Å): 4.5413 4.5413 4.5413
angles (deg): 60.00 60.00 60.00
Fractional positions:
Sm  0.0000  0.0000  0.0000
Re  0.2500  0.2500  0.2500

Summary:
The polymorph energy (0 for the lowest one) comes out at 1395 meV per atom. Its symmetry is F-43m (216). Its crystal system is cubic. The value obtained for the total magnetic moment is 1.00 μB per atom. The calculation puts the formation energy at 2.335 eV/atom.

=====

First-principles (PBE) data for a relaxed PuZrTc crystal, as listed in the Open Quantum Materials Database.

a b c (Å): 4.5393 4.5393 4.5393
angles (deg): 60.00 60.00 60.00
Fractional positions:
Pu  0.0000  0.0000  0.0000
Zr  0.2500  0.2500  0.2500
Tc  0.7500  0.7500  0.7500

Summary:
Its symmetry is F-43m (216). Its crystal system is cubic. The value obtained for the total magnetic moment is 1.64 μB per atom. The calculation puts the formation energy at 0.706 eV/atom.